4
Lattice="-1.380 2.017 2.932 -3.554 -0.958 -1.014 0.203 -3.135 2.252" Properties=species:S:1:pos:R:3 comment="CoRe2Mo (PBE-GGA, optimized geometry)" dos_at_fermi_per_ev_cell=3.2 energy_ev_per_atom=-10.661 pbc="T T T"
Re 0.000 0.000 0.000
Re -2.467 0.529 0.959
Mo -1.676 -2.047 0.619
Co -0.589 -0.559 2.592



5
Lattice="-2.332 -0.741 3.374 2.134 -3.511 0.703 2.717 2.121 2.344" Properties=species:S:1:pos:R:3 comment="HfBe3Pt (PBE-GGA, optimized geometry)" dos_at_fermi_per_ev_cell=0.5 energy_ev_per_atom=-5.434 pbc="T T T"
Be 1.067 -1.755 0.352
Be 1.358 1.060 1.172
Be -1.166 -0.371 1.687
Hf 1.259 -1.066 3.211
Pt 0.000 0.000 0.000



4
Lattice="5.202 0.000 0.000 2.601 4.505 0.000 2.601 1.502 4.248" Properties=species:S:1:pos:R:3 comment="LiCaGdGa (PBE-GGA, optimized geometry)" dos_at_fermi_per_ev_cell=3.0 energy_ev_per_atom=-5.533 pbc="T T T"
Ca 0.000 0.000 0.000
Gd 5.202 3.004 2.124
Ga 2.601 1.502 1.062
Li 7.803 4.505 3.186



80
Lattice="16.062 0.000 0.000 -5.354 15.144 0.000 -5.354 -7.572 13.115" Properties=species:S:1:pos:R:3 comment="Ac3Y5Mg12 (PBE-GGA, optimized geometry)" dos_at_fermi_per_ev_cell=100.3 energy_ev_per_atom=-2.467 pbc="T T T"
Ac 9.370 4.732 1.639
Ac 9.370 10.411 1.639
Ac -1.339 6.625 8.197
Ac 1.339 -0.946 4.918
Ac 12.047 0.000 3.279
Ac 1.339 7.572 3.279
Ac 4.016 0.000 9.836
Ac -6.693 7.572 9.836
Ac 4.016 8.518 8.197
Ac 6.693 0.946 4.918
Ac -4.016 -2.839 11.475
Ac -4.016 2.839 11.475
Y -1.339 3.786 3.279
Y -2.677 7.572 0.000
Y 0.000 0.000 0.000
Y 4.016 2.839 1.639
Y 5.354 -3.786 6.557
Y 5.354 7.572 0.000
Y -4.016 8.518 4.918
Y 6.693 -4.732 11.475
Y 6.693 6.625 4.918
Y 1.339 -3.786 9.836
Y 4.016 11.358 3.279
Y 2.677 3.786 6.557
Y 8.031 0.000 0.000
Y -2.677 -3.786 6.557
Y -1.339 0.946 8.197
Y -1.339 12.304 1.639
Y -5.354 3.786 6.557
Y 9.370 -0.946 8.197
Y 1.339 4.732 11.475
Y 6.693 3.786 9.836
Mg 10.455 1.669 0.935
Mg 0.253 5.430 5.579
Mg 11.540 3.268 3.629
Mg 7.199 2.277 1.913
Mg 1.911 6.016 8.551
Mg 11.027 7.551 1.993
Mg -0.832 8.563 5.542
Mg -4.522 12.867 1.913
Mg 0.766 9.128 8.551
Mg 7.712 7.593 1.993
Mg 8.285 3.811 4.645
Mg 8.285 13.474 0.935
Mg -4.588 6.627 7.492
Mg 2.996 5.856 1.015
Mg -5.608 11.332 4.645
Mg 2.930 -2.142 7.536
Mg -0.766 0.611 2.928
Mg 2.996 9.309 0.978
Mg 7.199 11.876 3.629
Mg -0.319 5.835 0.978
Mg -3.443 8.183 10.187
Mg 3.509 6.581 5.542
Mg 7.265 8.516 7.492
Mg 5.673 -1.716 12.100
Mg 1.845 0.991 7.573
Mg -1.911 -0.945 5.623
Mg -0.319 9.288 1.015
Mg -1.845 -4.304 9.485
Mg 8.797 -0.611 2.928
Mg 5.673 1.737 12.136
Mg 2.358 -1.737 12.136
Mg 2.424 9.714 5.579
Mg 6.120 6.960 10.187
Mg 10.962 -3.761 8.470
Mg 9.942 0.945 5.623
Mg -2.930 -5.903 12.180
Mg 2.358 1.716 12.100
Mg 4.588 -1.556 4.564
Mg -2.358 -0.021 11.121
Mg -2.930 3.761 8.470
Mg 9.876 -5.295 11.202
Mg 6.186 -0.991 7.573
Mg -1.845 5.295 11.202
Mg -5.673 0.021 11.121
Mg 3.443 1.556 4.564
Mg -6.186 4.304 9.485
Mg 5.101 2.142 7.536
Mg -5.101 5.903 12.180



4
Lattice="-2.557 3.938 -2.882 -2.429 -1.967 -0.533 -4.629 -0.023 4.077" Properties=species:S:1:pos:R:3 comment="Tl2WBr (PBE-GGA, optimized geometry)" dos_at_fermi_per_ev_cell=3.5 e_form_raw_mev_per_atom=951 pbc="T T T"
Tl -0.523 -0.397 -0.078
Tl -3.006 -0.598 1.850
Br -6.572 0.476 1.217
W -3.043 1.471 -0.555



16
Lattice="7.307 0.070 0.000 -2.495 6.864 0.000 0.000 0.000 8.412" Properties=species:S:1:pos:R:3 comment="Th3PaAs4 (PBE-GGA, optimized geometry)" dos_at_fermi_per_ev_cell=14.5 energy_ev_per_atom=-7.596 pbc="T T T"
As 6.661 1.754 5.296
As 3.050 1.694 7.397
As 3.008 1.719 3.116
As 6.704 1.729 1.015
As -1.891 5.206 7.397
As 1.805 5.216 5.296
As 1.762 5.241 1.015
As -1.849 5.180 3.116
Pa 5.480 0.053 7.364
Pa 1.827 0.018 1.048
Th 5.480 0.053 3.149
Th 1.827 0.018 5.263
Th 4.233 3.485 5.263
Th 4.233 3.485 1.048
Th 0.579 3.450 3.149
Th 0.579 3.450 7.364



8
Lattice="7.964 0.000 0.000 3.982 5.010 0.025 3.982 1.302 4.838" Properties=species:S:1:pos:R:3 comment="NiAgTe2Se4 (PBE-GGA, optimized geometry)" dos_at_fermi_per_ev_cell=6.7 e_form_raw_mev_per_atom=20 pbc="T T T"
Ni 7.964 3.156 2.431
Ag 3.982 0.000 0.000
Te 3.982 2.229 3.635
Te 3.982 4.083 1.228
Se 6.566 4.985 2.346
Se 9.363 2.772 0.641
Se 9.363 3.540 4.222
Se 6.566 1.326 2.517



11
Lattice="-0.234 -3.748 4.514 7.770 -4.003 2.439 5.390 4.007 6.286" Properties=species:S:1:pos:R:3 comment="Pr8ErMg2 (PBE-GGA, optimized geometry)" dos_at_fermi_per_ev_cell=14.0 energy_ev_per_atom=-4.076 pbc="T T T"
Pr 1.767 -2.716 5.554
Pr 6.476 -1.427 9.549
Pr 3.103 -2.738 2.325
Pr 8.287 -3.349 6.828
Pr 4.640 -0.396 6.411
Pr 4.434 -5.013 4.627
Pr 6.450 -2.317 3.690
Pr 11.159 -1.028 7.685
Er -0.117 -1.874 2.257
Mg 4.468 0.324 3.181
Mg 8.693 -0.320 5.545



6
Lattice="1.398 8.649 0.383 -1.398 8.649 0.383 0.000 1.711 6.634" Properties=species:S:1:pos:R:3 comment="Hg2Se (PBE-GGA, optimized geometry)" dos_at_fermi_per_ev_cell=2.1 e_form_raw_mev_per_atom=90 pbc="T T T"
Hg 0.000 9.235 5.873
Hg 0.000 3.135 3.334
Hg 0.000 15.873 4.066
Hg 0.000 9.773 1.527
Se 0.000 14.100 1.850
Se 0.000 4.909 5.550



12
Lattice="4.143 0.000 0.000 0.000 7.877 0.000 0.000 0.000 12.359" Properties=species:S:1:pos:R:3 comment="BiSBr (PBE-GGA, optimized geometry)" dos_at_fermi_per_ev_cell=0.0 e_form_raw_mev_per_atom=-546 pbc="T T T"
Bi 3.107 7.362 1.598
Bi 1.036 3.423 4.582
Bi 1.036 0.515 10.761
Bi 3.107 4.454 7.777
S 3.107 5.116 5.198
S 1.036 1.178 0.981
S 1.036 2.761 7.161
S 3.107 6.700 11.377
Br 3.107 2.763 10.499
Br 1.036 6.702 8.039
Br 1.036 5.114 1.860
Br 3.107 1.175 4.320



3
Lattice="6.777 0.035 -0.023 5.832 2.828 -0.003 0.945 -1.102 2.566" Properties=species:S:1:pos:R:3 comment="SiOsSe (PBE-GGA, optimized geometry)" dos_at_fermi_per_ev_cell=1.4 e_form_raw_mev_per_atom=545 pbc="T T T"
Os 12.495 2.824 -0.001
Se 8.655 1.519 0.853
Si 5.013 0.281 1.662



5
Lattice="5.042 0.000 0.000 0.000 5.874 0.000 0.000 0.000 5.042" Properties=species:S:1:pos:R:3 comment="RbHf2TiTe (PBE-GGA, optimized geometry)" dos_at_fermi_per_ev_cell=6.1 e_form_raw_mev_per_atom=1017 pbc="T T T"
Te 2.521 2.937 2.521
Hf 0.000 0.000 2.521
Hf 2.521 0.000 0.000
Rb 0.000 2.937 0.000
Ti 0.000 0.000 0.000